A relaxed structure of Sr2YCdH. Source: Alexandria via LeMat-Bulk, functional PBE.

Summary:
* final energy: -2.93 eV per atom

```
Sr2YCdH
1.0
5.637 0.000 0.000
0.000 5.637 0.000
0.000 0.000 4.537
Y Sr H Cd
1 2 1 1
Direct
0.000 0.000 0.500
0.000 0.500 0.000
0.500 0.000 0.000
0.000 0.000 0.000
0.500 0.500 0.500
```

***

A relaxed structure of SrZnCdH2. Source: Alexandria via LeMat-Bulk, functional PBE.

Summary:
* final energy: -1.90 eV per atom

```
SrZnCdH2
1.0
4.528 0.000 0.000
0.000 7.000 0.000
0.000 0.000 4.528
Sr Zn H Cd
1 1 2 1
Direct
0.000 0.000 0.000
0.500 0.500 0.500
0.000 0.000 0.500
0.500 0.000 0.000
0.000 0.500 0.000
```